# 1
VASP calculation (meta-GGA SCAN) on CaAs2Cl at its PBEsol-relaxed geometry.

```
data_CaAs2Cl
_chemical_formula_sum 'Ca1 As2 Cl1'
_cell_length_a 3.724
_cell_length_b 3.683
_cell_length_c 7.007
_cell_angle_alpha 90.00
_cell_angle_beta 91.19
_cell_angle_gamma 90.00
_symmetry_space_group_name_H-M 'P 1 m 1'
_symmetry_Int_Tables_number 6
loop_
_symmetry_equiv_pos_as_xyz
'x,y,z'
'x,-y,z'
loop_
_atom_site_label
_atom_site_type_symbol
_atom_site_fract_x
_atom_site_fract_y
_atom_site_fract_z
Ca1 Ca 0.000 0.000 0.000
As1 As 0.008 0.500 0.644
As2 As 0.479 0.000 0.645
Cl1 Cl 0.506 0.500 0.144
```

For the total magnetization, the calculation gives 0.000 μB per formula unit. The total energy is -0.5743 hartree per atom. Its formation energy from raw total energies is -1.123 eV per atom.



# 2
VASP calculation (meta-GGA SCAN) on NdErZn2 at its PBEsol-relaxed geometry.

```
data_NdErZn2
_chemical_formula_sum 'Nd4 Er4 Zn8'
_cell_length_a 7.084
_cell_length_b 7.084
_cell_length_c 7.084
_cell_angle_alpha 90.00
_cell_angle_beta 90.00
_cell_angle_gamma 90.00
_symmetry_space_group_name_H-M 'F m -3 m'
_symmetry_Int_Tables_number 225
_symmetry_space_group_name_Hall '-F 4 2 3'
loop_
_atom_site_label
_atom_site_type_symbol
_atom_site_fract_x
_atom_site_fract_y
_atom_site_fract_z
Nd1 Nd 0.000 0.000 0.000
Er1 Er 0.000 0.000 0.500
Zn1 Zn 0.250 0.250 0.250
```

For the total magnetization, the calculation gives 0.001 μB per formula unit. The formation energy is -0.39 eV per atom. The total energy is -1.1254 hartree per atom.



# 3
VASP calculation (meta-GGA SCAN) on P3AuN at its PBEsol-relaxed geometry.

```
data_P3AuN
_chemical_formula_sum 'P3 Au1 N1'
_cell_length_a 4.807
_cell_length_b 4.807
_cell_length_c 4.807
_cell_angle_alpha 90.00
_cell_angle_beta 90.00
_cell_angle_gamma 90.00
_symmetry_space_group_name_H-M 'P m -3 m'
_symmetry_Int_Tables_number 221
_symmetry_space_group_name_Hall '-P 4 2 3'
loop_
_atom_site_label
_atom_site_type_symbol
_atom_site_fract_x
_atom_site_fract_y
_atom_site_fract_z
P1 P 0.000 0.000 0.500
Au1 Au 0.000 0.000 0.000
N1 N 0.500 0.500 0.500
```

For the total magnetization, the calculation gives 3.128 μB per formula unit. The total energy is -0.7253 hartree per atom. Its formation energy from raw total energies is 2.191 eV per atom.



# 4
VASP calculation (meta-GGA SCAN) on ZrTa2Ag at its PBEsol-relaxed geometry.

```
data_ZrTa2Ag
_chemical_formula_sum 'Zr2 Ta4 Ag2'
_cell_length_a 3.430
_cell_length_b 4.561
_cell_length_c 9.322
_cell_angle_alpha 90.00
_cell_angle_beta 90.00
_cell_angle_gamma 90.00
_symmetry_space_group_name_H-M 'C m m 2'
_symmetry_Int_Tables_number 35
loop_
_symmetry_equiv_pos_as_xyz
'x,y,z'
'-x,-y,z'
'-x,y,z'
'x,-y,z'
'x+1/2,y+1/2,z'
'-x+1/2,-y+1/2,z'
'-x+1/2,y+1/2,z'
'x+1/2,-y+1/2,z'
loop_
_atom_site_label
_atom_site_type_symbol
_atom_site_fract_x
_atom_site_fract_y
_atom_site_fract_z
Zr1 Zr 0.000 0.000 0.000
Ta1 Ta 0.000 0.000 0.508
Ta2 Ta 0.000 0.500 0.744
Ag1 Ag 0.000 0.500 0.261
```

For the total magnetization, the calculation gives 0.001 μB per formula unit. The formation energy is 0.10 eV per atom. The total energy is -1.7901 hartree per atom.



# 5
VASP calculation (meta-GGA SCAN) on SrZnBi2P at its PBEsol-relaxed geometry.

```
data_SrZnBi2P
_chemical_formula_sum 'Sr1 Zn1 Bi2 P1'
_cell_length_a 5.977
_cell_length_b 5.977
_cell_length_c 5.357
_cell_angle_alpha 90.00
_cell_angle_beta 90.00
_cell_angle_gamma 90.00
_symmetry_space_group_name_H-M 'P 4/m m m'
_symmetry_Int_Tables_number 123
_symmetry_space_group_name_Hall '-P 4 2'
loop_
_atom_site_label
_atom_site_type_symbol
_atom_site_fract_x
_atom_site_fract_y
_atom_site_fract_z
Sr1 Sr 0.000 0.000 0.000
Zn1 Zn 0.500 0.500 0.500
Bi1 Bi 0.000 0.500 0.000
P1 P 0.000 0.000 0.500
```

For the total magnetization, the calculation gives 0.000 μB per formula unit. The formation energy is 1.08 eV per atom. The total energy is -1.4548 hartree per atom.



# 6
VASP calculation (meta-GGA SCAN) on K2SbSe at its PBEsol-relaxed geometry.

```
data_K2SbSe
_chemical_formula_sum 'K6 Sb3 Se3'
_cell_length_a 3.6268
_cell_length_b 3.6268
_cell_length_c 31.8807
_cell_angle_alpha 90.00
_cell_angle_beta 90.00
_cell_angle_gamma 120.00
_symmetry_space_group_name_H-M 'R -3 m'
_symmetry_Int_Tables_number 166
_symmetry_space_group_name_Hall '-R 3 2"'
loop_
_atom_site_label
_atom_site_type_symbol
_atom_site_fract_x
_atom_site_fract_y
_atom_site_fract_z
K1 K 0.0000 0.0000 0.2410
Sb1 Sb 0.0000 0.0000 0.0000
Se1 Se 0.0000 0.0000 0.5000
```

For the total magnetization, the calculation gives 0.000 μB per formula unit. The total energy is -0.6951 hartree per atom. Its formation energy from raw total energies is -0.415 eV per atom.